Entry a
A relaxed Co2SiBr crystal, computed with GGA-PBEsol.

The structure in CIF format:
```
data_Co2SiBr
_cell_length_a 3.4871
_cell_length_b 3.4871
_cell_length_c 16.5764
_cell_angle_alpha 90.00
_cell_angle_beta 90.00
_cell_angle_gamma 120.00
_symmetry_space_group_name_H-M 'R -3 m'
_symmetry_Int_Tables_number 166
_symmetry_space_group_name_Hall '-R 3 2"'
loop_
_atom_site_label
_atom_site_type_symbol
_atom_site_fract_x
_atom_site_fract_y
_atom_site_fract_z
Co1 Co 0.0000 0.0000 0.2218
Si1 Si 0.0000 0.0000 0.5000
Br1 Br 0.0000 0.0000 0.0000
```

=====

Entry b
A relaxed Co2SiBr crystal, computed with GGA-PBEsol.

The structure in CIF format:
```
data_Co2SiBr
_cell_length_a 4.955
_cell_length_b 4.955
_cell_length_c 11.090
_cell_angle_alpha 90.00
_cell_angle_beta 90.00
_cell_angle_gamma 90.00
_symmetry_space_group_name_H-M 'I -4 2 d'
_symmetry_Int_Tables_number 122
_symmetry_space_group_name_Hall 'I -4 2bw'
loop_
_atom_site_label
_atom_site_type_symbol
_atom_site_fract_x
_atom_site_fract_y
_atom_site_fract_z
Co1 Co 0.227 0.250 0.125
Si1 Si 0.000 0.000 0.000
Br1 Br 0.000 0.000 0.500
```

=====

entry b is the least stable structure shown above.